Entry 1:
# Np3V12Si5 | the Alexandria database | PBE | relaxed
# Uncorrected energy, eV/cell: -640.58
# Uncorrected formation energy, eV per atom: 0.76
data_Np3V12Si5
_cell_length_a 12.251
_cell_length_b 12.251
_cell_length_c 12.251
_cell_angle_alpha 109.47
_cell_angle_beta 109.47
_cell_angle_gamma 109.47
_symmetry_space_group_name_H-M 'P 1'
_symmetry_Int_Tables_number 1
loop_
_symmetry_equiv_pos_as_xyz
'x,y,z'
loop_
_atom_site_label
_atom_site_type_symbol
_atom_site_fract_x
_atom_site_fract_y
_atom_site_fract_z
Np1 Np 0.125 0.250 0.375
Np2 Np 0.125 0.375 0.750
Np3 Np 0.250 0.375 0.125
Np4 Np 0.250 0.875 0.625
Np5 Np 0.375 0.125 0.250
Np6 Np 0.375 0.750 0.125
Np7 Np 0.625 0.250 0.875
Np8 Np 0.625 0.875 0.750
Np9 Np 0.750 0.125 0.375
Np10 Np 0.750 0.625 0.875
Np11 Np 0.875 0.625 0.250
Np12 Np 0.875 0.750 0.625
V1 V 0.056 0.624 0.388
V2 V 0.056 0.932 0.668
V3 V 0.068 0.236 0.124
V4 V 0.068 0.332 0.944
V5 V 0.112 0.736 0.668
V6 V 0.112 0.876 0.444
V7 V 0.124 0.068 0.236
V8 V 0.124 0.556 0.888
V9 V 0.168 0.236 0.612
V10 V 0.168 0.432 0.556
V11 V 0.236 0.124 0.068
V12 V 0.236 0.612 0.168
V13 V 0.264 0.332 0.888
V14 V 0.264 0.432 0.376
V15 V 0.332 0.888 0.264
V16 V 0.332 0.944 0.068
V17 V 0.376 0.264 0.432
V18 V 0.376 0.612 0.944
V19 V 0.388 0.056 0.624
V20 V 0.388 0.832 0.764
V21 V 0.432 0.376 0.264
V22 V 0.432 0.556 0.168
V23 V 0.444 0.112 0.876
V24 V 0.444 0.832 0.568
V25 V 0.556 0.168 0.432
V26 V 0.556 0.888 0.124
V27 V 0.568 0.444 0.832
V28 V 0.568 0.624 0.736
V29 V 0.612 0.168 0.236
V30 V 0.612 0.944 0.376
V31 V 0.624 0.388 0.056
V32 V 0.624 0.736 0.568
V33 V 0.668 0.056 0.932
V34 V 0.668 0.112 0.736
V35 V 0.736 0.568 0.624
V36 V 0.736 0.668 0.112
V37 V 0.764 0.388 0.832
V38 V 0.764 0.876 0.932
V39 V 0.832 0.568 0.444
V40 V 0.832 0.764 0.388
V41 V 0.876 0.444 0.112
V42 V 0.876 0.932 0.764
V43 V 0.888 0.124 0.556
V44 V 0.888 0.264 0.332
V45 V 0.932 0.668 0.056
V46 V 0.932 0.764 0.876
V47 V 0.944 0.068 0.332
V48 V 0.944 0.376 0.612
Si1 Si 0.000 0.000 0.000
Si2 Si 0.000 0.000 0.500
Si3 Si 0.000 0.500 0.000
Si4 Si 0.000 0.500 0.500
Si5 Si 0.125 0.750 0.875
Si6 Si 0.125 0.875 0.250
Si7 Si 0.250 0.125 0.875
Si8 Si 0.250 0.625 0.375
Si9 Si 0.375 0.250 0.625
Si10 Si 0.375 0.625 0.750
Si11 Si 0.500 0.000 0.000
Si12 Si 0.500 0.000 0.500
Si13 Si 0.500 0.500 0.000
Si14 Si 0.500 0.500 0.500
Si15 Si 0.625 0.375 0.250
Si16 Si 0.625 0.750 0.375
Si17 Si 0.750 0.375 0.625
Si18 Si 0.750 0.875 0.125
Si19 Si 0.875 0.125 0.750
Si20 Si 0.875 0.250 0.125



Entry 2:
# Pm2YHo | the Alexandria database | PBE | relaxed
# ΔH_f (0 K), eV per atom: 0.12
# Excess energy over the best structure of this formula in the dataset, kJ/mol of formula units: 40
# Uncorrected energy, eV/cell: -20.08
data_Pm2YHo
_cell_length_a 5.734
_cell_length_b 5.734
_cell_length_c 5.734
_cell_angle_alpha 60.00
_cell_angle_beta 60.00
_cell_angle_gamma 60.00
_symmetry_space_group_name_H-M 'P 1'
_symmetry_Int_Tables_number 1
loop_
_symmetry_equiv_pos_as_xyz
'x,y,z'
loop_
_atom_site_label
_atom_site_type_symbol
_atom_site_fract_x
_atom_site_fract_y
_atom_site_fract_z
Pm1 Pm 0.250 0.250 0.250
Pm2 Pm 0.750 0.750 0.750
Y1 Y 0.000 0.000 0.000
Ho1 Ho 0.500 0.500 0.500



Entry 3:
# Hg4Pd7Au | the Alexandria database | PBE | relaxed
# ΔH_f (0 K), eV per atom: 0.05
# Excess energy over the best structure of this formula in the dataset, kJ/mol of formula units: 140
# Uncorrected energy, eV/cell: -40.24
data_Hg4Pd7Au
_cell_length_a 5.788
_cell_length_b 5.788
_cell_length_c 10.122
_cell_angle_alpha 117.16
_cell_angle_beta 117.16
_cell_angle_gamma 51.64
_symmetry_space_group_name_H-M 'P 1'
_symmetry_Int_Tables_number 1
loop_
_symmetry_equiv_pos_as_xyz
'x,y,z'
loop_
_atom_site_label
_atom_site_type_symbol
_atom_site_fract_x
_atom_site_fract_y
_atom_site_fract_z
Hg1 Hg 0.080 0.080 0.311
Hg2 Hg 0.322 0.322 0.230
Hg3 Hg 0.678 0.678 0.770
Hg4 Hg 0.920 0.920 0.689
Pd1 Pd 0.000 0.000 0.000
Pd2 Pd 0.155 0.155 0.621
Pd3 Pd 0.215 0.215 0.920
Pd4 Pd 0.379 0.379 0.535
Pd5 Pd 0.621 0.621 0.465
Pd6 Pd 0.785 0.785 0.080
Pd7 Pd 0.845 0.845 0.379
Au1 Au 0.500 0.500 0.000



Entry 4:
# RbSi2Hg2 | the Alexandria database | PBE | relaxed
# Excess energy over the best structure of this formula in the dataset, kJ/mol of formula units: 60
# Uncorrected energy, eV/cell: -11.16
# Uncorrected formation energy, eV per atom: 0.25
data_RbSi2Hg2
_cell_length_a 6.711
_cell_length_b 6.711
_cell_length_c 6.711
_cell_angle_alpha 138.86
_cell_angle_beta 138.86
_cell_angle_gamma 59.59
_symmetry_space_group_name_H-M 'P 1'
_symmetry_Int_Tables_number 1
loop_
_symmetry_equiv_pos_as_xyz
'x,y,z'
loop_
_atom_site_label
_atom_site_type_symbol
_atom_site_fract_x
_atom_site_fract_y
_atom_site_fract_z
Rb1 Rb 0.000 0.000 0.000
Si1 Si 0.250 0.750 0.500
Si2 Si 0.750 0.250 0.500
Hg1 Hg 0.372 0.372 0.000
Hg2 Hg 0.628 0.628 0.000